Entry 1:
Compound: Gd2CBr
Source: Alexandria via LeMat-Bulk
Functional: SCAN
Structure: PBEsol geometry

```
8
Lattice="-1.735 -0.385 -3.213 2.670 -2.341 0.937 -9.511 -8.391 6.139" Properties=species:S:1:pos:R:3 pbc="T T T"
Gd -8.905 -8.658 3.746
Gd 0.329 -2.459 0.117
Br -2.644 -3.134 -0.295
C 0.000 0.000 0.000
C -4.756 -4.196 3.070
Gd -2.681 -5.114 2.060
Br -5.932 -7.982 4.158
Gd -5.895 -6.002 1.803
```

## Properties
* mass density: 8.20 g/cm³
* raw formation energy: -4.308 eV/f.u.
* space group: No. 194

Entry 2:
Compound: Hf3TcRu
Source: Alexandria via LeMat-Bulk
Functional: SCAN
Structure: PBEsol geometry

```
5
Lattice="4.802 0.000 0.000 0.000 4.802 0.000 0.000 0.000 4.802" Properties=species:S:1:pos:R:3 pbc="T T T"
Ru 2.401 2.401 2.401
Tc 0.000 0.000 0.000
Hf 2.401 0.000 0.000
Hf 0.000 0.000 2.401
Hf 0.000 2.401 0.000
```

## Properties
* mass density: 11.01 g/cm³
* energy of formation: 0.799 eV/atom
* space group: No. 221

Entry 3:
Compound: BaSc2Ni
Source: Alexandria via LeMat-Bulk
Functional: SCAN
Structure: PBEsol geometry

```
4
Lattice="-0.812 -0.254 -4.876 2.900 -2.825 -2.848 -1.790 -4.160 -1.998" Properties=species:S:1:pos:R:3 pbc="T T T"
Ba 0.000 0.000 0.000
Ni 0.149 -3.619 -4.861
Sc 0.075 -1.810 -2.430
Sc 0.224 -5.429 -7.291
```

## Properties
* mass density: 5.54 g/cm³
* energy of formation: 0.433 eV/atom
* relative energy among the computed polymorphs: 469 meV per atom
* space group: No. 225